[1]
A plane-wave DFT calculation with GGA-PBE was carried out for LiHoTlCu after structural relaxation.

The calculation puts the formation energy at -249 meV per atom. The raw total energy comes out at -55.80 eV/cell. The calculation puts the total magnetic moment at 0.00 μB/atom.

a b c (Å): 6.700 6.700 6.700
angles (deg): 90.00 90.00 90.00
Space group F-43m (No. 216)
Asymmetric unit:
Li (0.000, 0.000, 0.000)
Ho (0.250, 0.250, 0.250)
Tl (0.250, 0.250, 0.750)
Cu (0.000, 0.000, 0.500)

***

[2]
A plane-wave DFT calculation with GGA-PBE was carried out for Ca2ScReO8 after structural relaxation.

The raw total energy comes out at -88.86 eV/cell. The calculation puts the total magnetic moment at 0.00 μB/atom. The formation energy (no corrections) comes out at -2201 meV per atom.

a b c (Å): 4.700 5.186 6.333
angles (deg): 90.04 90.08 90.55
Space group P-1 (No. 2)
Asymmetric unit:
Ca (0.000, 0.000, 0.244)
Sc (0.500, 0.500, 0.500)
Re (0.500, 0.500, 0.000)
O (0.266, 0.375, 0.770)
O (0.267, 0.375, 0.229)
O (0.288, 0.803, 0.000)
O (0.371, 0.914, 0.500)

***

[3]
A plane-wave DFT calculation with GGA-PBE was carried out for CeNiCN after structural relaxation.

The raw total energy comes out at -63.53 eV/cell. The calculation puts the total magnetic moment at 0.03 μB/atom. The formation energy (no corrections) comes out at -625 meV per atom.

a b c (Å): 3.562 3.562 7.347
angles (deg): 90.00 90.00 90.00
Space group P4/nmm (No. 129, origin choice 2)
Asymmetric unit:
Ce (0.250, 0.250, 0.178)
Ni (0.250, 0.750, 0.500)
C (0.250, 0.250, 0.656)
N (0.250, 0.250, 0.847)

***

[4]
A plane-wave DFT calculation with GGA-PBE was carried out for Er2HfAl after structural relaxation.

The calculation puts the formation energy at -122 meV per atom. The raw total energy comes out at -23.31 eV/cell. Its distance to the lowest polymorph of the same formula is 11 meV/atom. The calculation puts the total magnetic moment at 0.00 μB/atom.

a b c (Å): 4.545 4.545 4.596
angles (deg): 90.00 90.00 90.00
Space group P4/mmm (No. 123)
Asymmetric unit:
Er (0.000, 0.500, 0.000)
Hf (0.000, 0.000, 0.500)
Al (0.500, 0.500, 0.500)

***

raw total energy of number 3 (CeNiCN)?
-63.53 eV/cell

***

Which of these has the highest raw total energy?
Er2HfAl